No. 1
Compound: Y8GaAg2
Source: the Alexandria database
Functional: PBE
Structure: relaxed

space group: C2/m (12)
total DFT energy (no corrections): -5.712 eV per atom
density of states at the Fermi level: 0.879 states/eV/atom

abc: 9.3079 9.3079 6.9545
angles: 106.73 106.73 32.44
Fractional coordinates of all 11 atoms:
1 Y 0.0281 0.0281 0.2837
2 Y 0.1976 0.1976 0.8149
3 Y 0.3325 0.3325 0.5215
4 Y 0.4073 0.4073 0.0442
5 Y 0.5927 0.5927 0.9558
6 Y 0.6675 0.6675 0.4785
7 Y 0.8024 0.8024 0.1851
8 Y 0.9719 0.9719 0.7163
9 Ga 0.5000 0.5000 0.5000
10 Ag 0.1820 0.1820 0.2178
11 Ag 0.8180 0.8180 0.7822



No. 2
Compound: Y4Ga12Ag
Source: the Alexandria database
Functional: PBE
Structure: relaxed

space group: Im-3m (229)
total DFT energy (no corrections): -4.338 eV per atom
density of states at the Fermi level: 0.418 states/eV/atom

abc: 7.5419 7.5419 7.5419
angles: 109.47 109.47 109.47
Fractional coordinates of all 17 atoms:
1 Y 0.0000 0.0000 0.5000
2 Y 0.0000 0.5000 0.0000
3 Y 0.5000 0.0000 0.0000
4 Y 0.5000 0.5000 0.5000
5 Ga 0.0000 0.3042 0.3042
6 Ga 0.0000 0.6958 0.6958
7 Ga 0.2500 0.5000 0.7500
8 Ga 0.2500 0.7500 0.5000
9 Ga 0.3042 0.0000 0.3042
10 Ga 0.3042 0.3042 0.0000
11 Ga 0.5000 0.2500 0.7500
12 Ga 0.5000 0.7500 0.2500
13 Ga 0.6958 0.0000 0.6958
14 Ga 0.6958 0.6958 0.0000
15 Ga 0.7500 0.2500 0.5000
16 Ga 0.7500 0.5000 0.2500
17 Ag 0.0000 0.0000 0.0000



No. 3
Compound: YGaAg2
Source: the Alexandria database
Functional: PBE
Structure: relaxed

space group: P4/mmm (123)
total DFT energy (no corrections): -4.031 eV per atom
density of states at the Fermi level: 0.554 states/eV/atom

abc: 4.3699 4.3699 4.3785
angles: 90.00 90.00 90.00
Fractional coordinates of all 4 atoms:
1 Y 0.0000 0.0000 0.0000
2 Ga 0.5000 0.5000 0.0000
3 Ag 0.0000 0.5000 0.5000
4 Ag 0.5000 0.0000 0.5000



No. 4
Compound: Y2Ga3Ag2
Source: the Alexandria database
Functional: PBE
Structure: relaxed

space group: Cmcm (63)
total DFT energy (no corrections): -4.440 eV per atom
density of states at the Fermi level: 0.626 states/eV/atom

abc: 9.6748 9.6748 7.3458
angles: 90.00 90.00 154.77
Fractional coordinates of all 14 atoms:
1 Y 0.0553 0.9447 0.7500
2 Y 0.1542 0.8458 0.2500
3 Y 0.8458 0.1542 0.7500
4 Y 0.9447 0.0553 0.2500
5 Ga 0.2273 0.7727 0.7500
6 Ga 0.4431 0.5569 0.5781
7 Ga 0.4431 0.5569 0.9219
8 Ga 0.5569 0.4431 0.0781
9 Ga 0.5569 0.4431 0.4219
10 Ga 0.7727 0.2273 0.2500
11 Ag 0.3140 0.6860 0.0550
12 Ag 0.3140 0.6860 0.4450
13 Ag 0.6860 0.3140 0.5550
14 Ag 0.6860 0.3140 0.9450



No. 5
Compound: Y3GaAg
Source: the Alexandria database
Functional: PBE
Structure: relaxed

space group: C2/c (15)
total DFT energy (no corrections): -5.294 eV per atom
density of states at the Fermi level: 0.895 states/eV/atom

abc: 10.1286 10.1286 6.1954
angles: 107.55 107.55 65.86
Fractional coordinates of all 20 atoms:
1 Y 0.0705 0.3010 0.0706
2 Y 0.1491 0.6526 0.5308
3 Y 0.3010 0.0705 0.5706
4 Y 0.3357 0.4568 0.0307
5 Y 0.3474 0.8509 0.9692
6 Y 0.4568 0.3357 0.5307
7 Y 0.5432 0.6643 0.4693
8 Y 0.6526 0.1491 0.0308
9 Y 0.6643 0.5432 0.9693
10 Y 0.6990 0.9295 0.4294
11 Y 0.8509 0.3474 0.4692
12 Y 0.9295 0.6990 0.9294
13 Ga 0.1275 0.3944 0.6151
14 Ga 0.3944 0.1275 0.1151
15 Ga 0.6056 0.8725 0.8849
16 Ga 0.8725 0.6056 0.3849
17 Ag 0.0267 0.9733 0.7500
18 Ag 0.2183 0.7817 0.2500
19 Ag 0.7817 0.2183 0.7500
20 Ag 0.9733 0.0267 0.2500



No. 6
Compound: Y3GaAg2
Source: the Alexandria database
Functional: PBE
Structure: relaxed

space group: P4/mmm (123)
total DFT energy (no corrections): -5.116 eV per atom
density of states at the Fermi level: 0.532 states/eV/atom

abc: 3.6024 3.6024 11.0005
angles: 90.00 90.00 90.00
Fractional coordinates of all 6 atoms:
1 Y 0.0000 0.0000 0.0000
2 Y 0.0000 0.0000 0.3383
3 Y 0.0000 0.0000 0.6617
4 Ga 0.5000 0.5000 0.5000
5 Ag 0.5000 0.5000 0.1698
6 Ag 0.5000 0.5000 0.8302



No. 7
Compound: YGa2Ag6
Source: the Alexandria database
Functional: PBE
Structure: relaxed

space group: C2/m (12)
total DFT energy (no corrections): -3.305 eV per atom
density of states at the Fermi level: 0.338 states/eV/atom

abc: 8.0473 8.0473 3.2495
angles: 101.56 101.56 61.89
Fractional coordinates of all 9 atoms:
1 Y 0.0000 0.0000 0.0000
2 Ga 0.3537 0.3537 0.8632
3 Ga 0.6463 0.6463 0.1368
4 Ag 0.0092 0.3466 0.6790
5 Ag 0.3325 0.6675 0.5000
6 Ag 0.3466 0.0092 0.6790
7 Ag 0.6534 0.9908 0.3210
8 Ag 0.6675 0.3325 0.5000
9 Ag 0.9908 0.6534 0.3210



No. 8
Compound: YGaAg2
Source: the Alexandria database
Functional: PBE
Structure: relaxed

space group: I-42d (122)
total DFT energy (no corrections): -3.854 eV per atom
density of states at the Fermi level: 0.758 states/eV/atom

abc: 4.2330 4.2330 19.9649
angles: 90.00 90.00 90.00
Fractional coordinates of all 16 atoms:
1 Y 0.0000 0.0000 0.0000
2 Y 0.0000 0.5000 0.2500
3 Y 0.5000 0.0000 0.7500
4 Y 0.5000 0.5000 0.5000
5 Ga 0.0000 0.0000 0.5000
6 Ga 0.0000 0.5000 0.7500
7 Ga 0.5000 0.0000 0.2500
8 Ga 0.5000 0.5000 0.0000
9 Ag 0.2185 0.2500 0.6250
10 Ag 0.2500 0.7185 0.8750
11 Ag 0.2500 0.7815 0.3750
12 Ag 0.2815 0.2500 0.1250
13 Ag 0.7185 0.7500 0.1250
14 Ag 0.7500 0.2185 0.3750
15 Ag 0.7500 0.2815 0.8750
16 Ag 0.7815 0.7500 0.6250



No. 9
Compound: YGaAg2
Source: the Alexandria database
Functional: PBE
Structure: relaxed

space group: Cmcm (63)
total DFT energy (no corrections): -4.120 eV per atom
density of states at the Fermi level: 0.590 states/eV/atom

abc: 3.5457 20.4536 4.5926
angles: 90.00 90.00 90.00
Fractional coordinates of all 16 atoms:
1 Y 0.0000 0.1012 0.2500
2 Y 0.0000 0.8988 0.7500
3 Y 0.5000 0.3988 0.7500
4 Y 0.5000 0.6012 0.2500
5 Ga 0.0000 0.3361 0.2500
6 Ga 0.0000 0.6639 0.7500
7 Ga 0.5000 0.1639 0.7500
8 Ga 0.5000 0.8361 0.2500
9 Ag 0.0000 0.2662 0.7500
10 Ag 0.0000 0.4639 0.2500
11 Ag 0.0000 0.5361 0.7500
12 Ag 0.0000 0.7338 0.2500
13 Ag 0.5000 0.0361 0.7500
14 Ag 0.5000 0.2338 0.2500
15 Ag 0.5000 0.7662 0.7500
16 Ag 0.5000 0.9639 0.2500



No. 10
Compound: Y5GaAg4
Source: the Alexandria database
Functional: PBE
Structure: relaxed

space group: P4/mmm (123)
total DFT energy (no corrections): -5.063 eV per atom
density of states at the Fermi level: 0.636 states/eV/atom

abc: 3.6154 3.6154 18.3311
angles: 90.00 90.00 90.00
Fractional coordinates of all 10 atoms:
1 Y 0.0000 0.0000 0.0000
2 Y 0.0000 0.0000 0.2021
3 Y 0.0000 0.0000 0.4034
4 Y 0.0000 0.0000 0.5966
5 Y 0.0000 0.0000 0.7979
6 Ga 0.5000 0.5000 0.5000
7 Ag 0.5000 0.5000 0.1000
8 Ag 0.5000 0.5000 0.3028
9 Ag 0.5000 0.5000 0.6972
10 Ag 0.5000 0.5000 0.9000



No. 11
Compound: Y2Ga2Ag3
Source: the Alexandria database
Functional: PBE
Structure: relaxed

space group: Cmcm (63)
total DFT energy (no corrections): -4.245 eV per atom
density of states at the Fermi level: 0.693 states/eV/atom

abc: 10.1507 10.1507 7.1371
angles: 90.00 90.00 155.62
Fractional coordinates of all 14 atoms:
1 Y 0.0524 0.9476 0.7500
2 Y 0.1600 0.8400 0.2500
3 Y 0.8400 0.1600 0.7500
4 Y 0.9476 0.0524 0.2500
5 Ga 0.3112 0.6888 0.0548
6 Ga 0.3112 0.6888 0.4452
7 Ga 0.6888 0.3112 0.5548
8 Ga 0.6888 0.3112 0.9452
9 Ag 0.2214 0.7786 0.7500
10 Ag 0.4364 0.5636 0.5594
11 Ag 0.4364 0.5636 0.9406
12 Ag 0.5636 0.4364 0.0594
13 Ag 0.5636 0.4364 0.4406
14 Ag 0.7786 0.2214 0.2500



No. 12
Compound: Y2Ga2Ag3
Source: the Alexandria database
Functional: PBE
Structure: relaxed

space group: Cmmm (65)
total DFT energy (no corrections): -4.287 eV per atom
density of states at the Fermi level: 0.385 states/eV/atom

abc: 4.1549 19.4349 3.6626
angles: 90.00 90.00 90.00
Fractional coordinates of all 14 atoms:
1 Y 0.0000 0.1586 0.0000
2 Y 0.0000 0.8414 0.0000
3 Y 0.5000 0.3414 0.0000
4 Y 0.5000 0.6586 0.0000
5 Ga 0.0000 0.2874 0.5000
6 Ga 0.0000 0.7126 0.5000
7 Ga 0.5000 0.2126 0.5000
8 Ga 0.5000 0.7874 0.5000
9 Ag 0.0000 0.0000 0.0000
10 Ag 0.0000 0.4296 0.5000
11 Ag 0.0000 0.5704 0.5000
12 Ag 0.5000 0.0704 0.5000
13 Ag 0.5000 0.5000 0.0000
14 Ag 0.5000 0.9296 0.5000



Energy relative to the elements values (in kJ per mole of atoms) by entry order: -20.99, -49.46, -22.47, -46.44, -23.18, -41.42, -1.28, -5.34, -31.04, -37.42, -30.01, -34.05.